Material: NdSm2Co2B2O3
Method: DFT, PBE+U
State: optimized geometry

**Total energy**: -6.822 eV/atom
**Crystal system**: tetragonal
**Space-group type**: I4/mmm (139)

```
data_NdSm2Co2B2O3
_chemical_formula_sum 'Nd1 Sm2 Co2 B2 O3'
_cell_length_a 10.320
_cell_length_b 10.320
_cell_length_c 10.320
_cell_angle_alpha 160.21
_cell_angle_beta 160.21
_cell_angle_gamma 28.13
_symmetry_space_group_name_H-M 'P 1'
_symmetry_Int_Tables_number 1
loop_
_symmetry_equiv_pos_as_xyz
'x,y,z'
loop_
_atom_site_label
_atom_site_fract_x
_atom_site_fract_y
_atom_site_fract_z
Nd1 0.000 0.000 0.000
Sm1 0.364 0.364 0.000
Sm2 0.636 0.636 0.000
Co1 0.250 0.750 0.500
Co2 0.750 0.250 0.500
B1 0.201 0.201 0.000
B2 0.799 0.799 0.000
O1 0.119 0.119 0.000
O2 0.500 0.500 0.000
O3 0.881 0.881 0.000
```